P) ## SnPb2Br (PBE-GGA)

Data for SnPb2Br after structural relaxation.

Unit cell a=5.5081 b=5.5081 c=5.5081 alpha=60.00 beta=60.00 gamma=60.00
Closest atoms and distances in Å follow each position.
Sites, in units of the cell vectors:
Pb 0.2500 0.2500 0.2500  4 Sn 3.37, 4 Br 3.37
Pb 0.7500 0.7500 0.7500  4 Sn 3.37, 4 Br 3.37
Sn 0.5000 0.5000 0.5000  8 Pb 3.37
Br 0.0000 0.0000 0.0000  8 Pb 3.37

Properties
The density of states at the Fermi level is 2.469 states/eV per cell. Its space group is No. 225.

---

Q) ## SnPb2Br (PBE-GGA)

Data for SnPb2Br after structural relaxation.

Unit cell a=3.5238 b=5.8387 c=5.8387 alpha=90.00 beta=90.00 gamma=90.00
Closest atoms and distances in Å follow each position.
Sites, in units of the cell vectors:
Pb 0.0000 0.0000 0.5000  4 Br 3.41, 4 Sn 3.41, 2 Pb 3.52
Pb 0.0000 0.5000 0.0000  4 Sn 3.41, 4 Br 3.41, 2 Pb 3.52
Sn 0.5000 0.0000 0.0000  8 Pb 3.41, 2 Sn 3.52
Br 0.5000 0.5000 0.5000  8 Pb 3.41, 2 Br 3.52

Properties
The density of states at the Fermi level is 1.121 states/eV per cell. Its space group is No. 123.

---

R) ## SnPb2Br (PBE-GGA)

Data for SnPb2Br after structural relaxation.

Unit cell a=4.4764 b=4.4764 c=8.2020 alpha=74.16 beta=74.16 gamma=60.00
Closest atoms and distances in Å follow each position.
Sites, in units of the cell vectors:
Pb 0.2598 0.2598 0.2206  3 Sn 3.10, 3 Br 3.38
Pb 0.7402 0.7402 0.7794  3 Sn 3.10, 3 Br 3.38
Sn 0.0000 0.0000 0.0000  6 Pb 3.10
Br 0.5000 0.5000 0.5000  6 Pb 3.38

Properties
The density of states at the Fermi level is 1.536 states/eV per cell. Its space group is No. 166.

---

If we sort the structures by their calculated energies, the order from most to least stable is R), Q), P).

---

P) ## SnPb2Br6 (PBE-GGA)

Data for SnPb2Br6 after structural relaxation.

Unit cell a=4.4595 b=8.5309 c=9.6230 alpha=99.20 beta=103.40 gamma=90.00
Closest atoms and distances in Å follow each position.
Sites, in units of the cell vectors:
Sn 0.5000 0.0000 0.0000  6 Br 3.03-3.04
Pb 0.8340 0.6686 0.6680  6 Br 3.07-3.08
Pb 0.1660 0.3314 0.3320  6 Br 3.07-3.08
Br 0.3364 0.9180 0.6728  1 Sn 3.03, 2 Pb 3.08
Br 0.0000 0.2418 0.9999  2 Sn 3.04, 1 Pb 3.08
Br 0.6676 0.5799 0.3352  3 Pb 3.07-3.08
Br 0.0000 0.7582 0.0001  2 Sn 3.04, 1 Pb 3.08
Br 0.6636 0.0820 0.3272  1 Sn 3.03, 2 Pb 3.08
Br 0.3324 0.4201 0.6648  3 Pb 3.07-3.08

Properties
The density of states at the Fermi level is 0.000 states/eV per cell. Its space group is No. 12.

---

Q) ## SnPb2Br6 (PBE-GGA)

Data for SnPb2Br6 after structural relaxation.

Unit cell a=7.1495 b=7.1495 c=13.6742 alpha=90.00 beta=90.00 gamma=90.00
Closest atoms and distances in Å follow each position.
Sites, in units of the cell vectors:
Sn 0.0000 0.0000 0.0000  6 Br 3.00-3.01
Sn 0.5000 0.5000 0.5000  6 Br 3.00-3.01
Pb 0.0000 0.0000 0.3337  6 Br 3.06
Pb 0.5000 0.5000 0.8337  6 Br 3.06
Pb 0.5000 0.5000 0.1663  6 Br 3.06
Pb 0.0000 0.0000 0.6663  6 Br 3.06
Br 0.3023 0.3023 0.3361  1 Sn 3.00, 2 Pb 3.06
Br 0.6977 0.6977 0.3361  1 Sn 3.00, 2 Pb 3.06
Br 0.1977 0.8023 0.8361  1 Sn 3.00, 2 Pb 3.06
Br 0.8023 0.1977 0.8361  1 Sn 3.00, 2 Pb 3.06
Br 0.1977 0.8023 0.1639  1 Sn 3.00, 2 Pb 3.06
Br 0.8023 0.1977 0.1639  1 Sn 3.00, 2 Pb 3.06
Br 0.3023 0.3023 0.6639  1 Sn 3.00, 2 Pb 3.06
Br 0.6977 0.6977 0.6639  1 Sn 3.00, 2 Pb 3.06
Br 0.2974 0.2974 0.0000  1 Sn 3.01, 2 Pb 3.06
Br 0.7026 0.7026 0.0000  1 Sn 3.01, 2 Pb 3.06
Br 0.2026 0.7974 0.5000  1 Sn 3.01, 2 Pb 3.06
Br 0.7974 0.2026 0.5000  1 Sn 3.01, 2 Pb 3.06

Properties
The density of states at the Fermi level is 0.000 states/eV per cell. Its space group is No. 136.

---

If we sort the structures by their calculated energies, the order from most to least stable is P), Q).